1.
Entry from Alexandria: a relaxed TbReP crystal (GGA-PBE).

- formation enthalpy at 0 K (meV per atom) = -460
- E above lowest polymorph (meV/atom) = 6
- Fermi-level density of states (states/eV/cell) = 4.6
- calculated density (Mg/m³) = 9.68
- energy (Ry/atom) = -0.585

Lattice parameters (Å, degrees): 3.9779 3.9747 9.7060 78.11 90.00 120.03
Element x y z (fractional)
Tb: 0.6115 0.2230 0.6676
Tb: 0.3885 0.7770 0.3324
Re: 0.1993 0.3987 0.9034
Re: 0.8007 0.6013 0.0966
P: 0.8863 0.7726 0.8425
P: 0.1137 0.2274 0.1575

---

2.
Entry from Alexandria: a relaxed Dy2ZrRu3 crystal (GGA-PBE).

- formation enthalpy at 0 K (meV per atom) = -457
- Fermi-level density of states (states/eV/cell) = 5.7
- calculated density (Mg/m³) = 10.54
- energy (Ry/atom) = -0.592

Lattice parameters (Å, degrees): 7.4927 7.4927 6.7298 90.00 90.00 143.15
Element x y z (fractional)
Dy: 0.0000 0.0000 0.0000
Dy: 0.6663 0.3337 0.5000
Dy: 0.3337 0.6663 0.5000
Dy: 0.0000 0.0000 0.5000
Ru: 0.1704 0.8296 0.7634
Ru: 0.8296 0.1704 0.7634
Ru: 0.5000 0.5000 0.7595
Ru: 0.1704 0.8296 0.2366
Ru: 0.8296 0.1704 0.2366
Ru: 0.5000 0.5000 0.2405
Zr: 0.3323 0.6677 0.0000
Zr: 0.6677 0.3323 0.0000

---

3.
Entry from Alexandria: a relaxed Ca4TlAs crystal (GGA-PBE).

- formation enthalpy at 0 K (meV per atom) = 207
- Fermi-level density of states (states/eV/cell) = 8.2
- calculated density (Mg/m³) = 3.66
- energy (Ry/atom) = -0.169

Lattice parameters (Å, degrees): 6.5580 6.5580 6.5580 60.00 60.00 60.00
Element x y z (fractional)
Ca: 0.3744 0.3744 0.8769
Ca: 0.3744 0.3744 0.3744
Ca: 0.3744 0.8769 0.3744
Ca: 0.8769 0.3744 0.3744
As: 0.0000 0.0000 0.0000
Tl: 0.7500 0.7500 0.7500

---

4.
Entry from Alexandria: a relaxed CrPtW2 crystal (GGA-PBE).

- formation enthalpy at 0 K (meV per atom) = 2
- E above lowest polymorph (meV/atom) = 0
- Fermi-level density of states (states/eV/cell) = 3.5
- calculated density (Mg/m³) = 16.98
- energy (Ry/atom) = -0.764

Lattice parameters (Å, degrees): 4.8513 4.8513 4.8513 134.48 131.28 68.87
Element x y z (fractional)
W: 0.5059 0.5059 0.0000
W: 0.9941 0.9941 0.0000
Pt: 0.2500 0.7500 0.5000
Cr: 0.7500 0.2500 0.5000

---

5.
Entry from Alexandria: a relaxed Ca3Mg7Ag4 crystal (GGA-PBE).

- formation enthalpy at 0 K (meV per atom) = -218
- Fermi-level density of states (states/eV/cell) = 7.9
- calculated density (Mg/m³) = 3.55
- energy (Ry/atom) = -0.166

Lattice parameters (Å, degrees): 4.6209 8.6852 9.3172 72.37 75.64 74.57
Element x y z (fractional)
Mg: 0.8365 0.4008 0.9261
Mg: 0.0000 0.0000 0.0000
Mg: 0.4882 0.2221 0.8015
Mg: 0.1635 0.5992 0.0739
Mg: 0.6809 0.1547 0.4834
Mg: 0.5118 0.7779 0.1985
Mg: 0.3191 0.8453 0.5166
Ag: 0.1110 0.1023 0.6757
Ag: 0.3369 0.5615 0.7647
Ag: 0.6631 0.4385 0.2353
Ag: 0.8890 0.8977 0.3243
Ca: 0.6936 0.8177 0.7952
Ca: 0.0000 0.5000 0.5000
Ca: 0.3064 0.1823 0.2048

---

6.
Entry from Alexandria: a relaxed CrCuNiAu crystal (GGA-PBE).

- formation enthalpy at 0 K (meV per atom) = 175
- Fermi-level density of states (states/eV/cell) = 5.8
- calculated density (Mg/m³) = 11.09
- energy (Ry/atom) = -0.406

Lattice parameters (Å, degrees): 4.2837 4.2837 4.2837 60.00 60.00 60.00
Element x y z (fractional)
Cu: 0.2500 0.2500 0.2500
Au: 0.0000 0.0000 0.0000
Cr: 0.5000 0.5000 0.5000
Ni: 0.7500 0.7500 0.7500

---

7.
Entry from Alexandria: a relaxed LaMnB2Os crystal (GGA-PBE).

- formation enthalpy at 0 K (meV per atom) = 457
- Fermi-level density of states (states/eV/cell) = 2.0
- calculated density (Mg/m³) = 8.79
- energy (Ry/atom) = -0.535

Lattice parameters (Å, degrees): 4.0655 4.6375 4.0655 90.00 90.00 90.00
Element x y z (fractional)
B: 0.5000 0.0000 0.0000
B: 0.0000 0.0000 0.5000
La: 0.5000 0.5000 0.5000
Os: 0.0000 0.5000 0.0000
Mn: 0.0000 0.0000 0.0000

---

8.
Entry from Alexandria: a relaxed BeHg2Br crystal (GGA-PBE).

- E above lowest polymorph (meV/atom) = 490
- Fermi-level density of states (states/eV/cell) = 1.1
- calculated density (Mg/m³) = 7.41
- energy (Ry/atom) = -0.079

Lattice parameters (Å, degrees): 5.2495 5.2508 5.0036 76.90 76.91 117.67
Element x y z (fractional)
Br: 0.0000 0.5000 0.5000
Be: 0.5000 0.0000 0.5000
Hg: 0.5000 0.5000 0.0000
Hg: 0.0000 0.0000 0.0000

---

9.
Entry from Alexandria: a relaxed Nd2Sm6DyMg crystal (GGA-PBE).

- formation enthalpy at 0 K (meV per atom) = 111
- Fermi-level density of states (states/eV/cell) = 25.6
- calculated density (Mg/m³) = 6.90
- energy (Ry/atom) = -0.316

Lattice parameters (Å, degrees): 9.7242 8.7785 8.7785 116.46 94.65 94.65
Element x y z (fractional)
Sm: 0.3851 0.5013 0.2962
Sm: 0.5519 0.7533 0.1234
Sm: 0.0519 0.1234 0.7533
Sm: 0.6922 0.0054 0.5718
Sm: 0.1149 0.7038 0.4987
Sm: 0.4481 0.2467 0.8766
Sm: 0.6149 0.4987 0.7038
Sm: 0.8851 0.2962 0.5013
Sm: 0.8078 0.4282 0.9946
Sm: 0.9481 0.8766 0.2467
Sm: 0.3078 0.9946 0.4282
Sm: 0.1922 0.5718 0.0054
Nd: 0.0490 0.2985 0.2031
Nd: 0.5490 0.2031 0.2985
Nd: 0.9510 0.7015 0.7969
Nd: 0.4510 0.7969 0.7015
Mg: 0.2500 0.4060 0.5940
Mg: 0.7500 0.5940 0.4060
Dy: 0.7500 0.0162 0.9838
Dy: 0.2500 0.9838 0.0162

---

10.
Entry from Alexandria: a relaxed Hf2ZrTl crystal (GGA-PBE).

- formation enthalpy at 0 K (meV per atom) = 159
- E above lowest polymorph (meV/atom) = 182
- Fermi-level density of states (states/eV/cell) = 4.7
- calculated density (Mg/m³) = 12.21
- energy (Ry/atom) = -0.555

Lattice parameters (Å, degrees): 5.0075 5.0075 5.0074 60.00 60.00 60.00
Element x y z (fractional)
Hf: 0.2500 0.2500 0.2500
Hf: 0.0000 0.0000 0.9999
Tl: 0.7500 0.7500 0.7500
Zr: 0.4999 0.4999 0.5002

---

11.
Entry from Alexandria: a relaxed Cs2BiHI6 crystal (GGA-PBE).

- E above lowest polymorph (meV/atom) = 0
- Fermi-level density of states (states/eV/cell) = 0.0
- calculated density (Mg/m³) = 4.38
- energy (Ry/atom) = -0.194

Lattice parameters (Å, degrees): 8.5107 8.0436 9.0056 63.69 61.99 90.40
Element x y z (fractional)
I: 0.7565 0.6817 0.0002
I: 0.7540 0.7784 0.4528
I: 0.2069 0.2310 0.5473
I: 0.1640 0.3325 0.9999
I: 0.6567 0.2126 0.0000
I: 0.2968 0.8133 0.0000
Cs: 0.2218 0.7547 0.5042
Cs: 0.7259 0.2590 0.4958
Bi: 0.0030 0.0061 0.0000
H: 0.7145 0.4307 0.0001

---

12.
Entry from Alexandria: a relaxed Sr2YTl crystal (GGA-PBE).

- formation enthalpy at 0 K (meV per atom) = -27
- E above lowest polymorph (meV/atom) = 107
- Fermi-level density of states (states/eV/cell) = 4.4
- calculated density (Mg/m³) = 5.29
- energy (Ry/atom) = -0.226

Lattice parameters (Å, degrees): 3.8763 5.1497 7.3683 90.00 90.00 90.00
Element x y z (fractional)
Y: 0.5000 0.5000 0.7500
Tl: 0.5000 0.5000 0.2500
Sr: 0.0000 0.0000 0.0140
Sr: 0.0000 0.0000 0.4860

---

13.
Entry from Alexandria: a relaxed MnTc2Br crystal (GGA-PBE).

- E above lowest polymorph (meV/atom) = 178
- Fermi-level density of states (states/eV/cell) = 5.2
- calculated density (Mg/m³) = 8.11
- energy (Ry/atom) = -0.545

Lattice parameters (Å, degrees): 3.1563 3.0784 6.9741 90.05 90.00 90.00
Element x y z (fractional)
Tc: 0.0000 0.2504 0.9318
Tc: 0.0000 0.2496 0.5682
Br: 0.5000 0.2500 0.2500
Mn: 0.5000 0.7500 0.7500

---

14.
Entry from Alexandria: a relaxed SrPtAu3 crystal (GGA-PBE).

- formation enthalpy at 0 K (meV per atom) = -208
- E above lowest polymorph (meV/atom) = 285
- Fermi-level density of states (states/eV/cell) = 1.6
- calculated density (Mg/m³) = 10.65
- energy (Ry/atom) = -0.273

Lattice parameters (Å, degrees): 5.1459 5.1459 5.1459 90.00 90.00 90.00
Element x y z (fractional)
Au: 0.5000 0.0000 0.0000
Au: 0.0000 0.0000 0.5000
Au: 0.0000 0.5000 0.0000
Pt: 0.0000 0.0000 0.0000
Sr: 0.5000 0.5000 0.5000

---

15.
Entry from Alexandria: a relaxed CsTi3P crystal (GGA-PBE).

- formation enthalpy at 0 K (meV per atom) = 518
- E above lowest polymorph (meV/atom) = 0
- Fermi-level density of states (states/eV/cell) = 7.1
- calculated density (Mg/m³) = 4.59
- energy (Ry/atom) = -0.402

Lattice parameters (Å, degrees): 4.8101 4.8101 4.8101 90.00 90.00 90.00
Element x y z (fractional)
P: 0.0000 0.0000 0.0000
Ti: 0.5000 0.0000 0.0000
Ti: 0.0000 0.0000 0.5000
Ti: 0.0000 0.5000 0.0000
Cs: 0.5000 0.5000 0.5000

---

16.
Entry from Alexandria: a relaxed TiAl3Pt4 crystal (GGA-PBE).

- formation enthalpy at 0 K (meV per atom) = -953
- Fermi-level density of states (states/eV/cell) = 7.9
- calculated density (Mg/m³) = 12.57
- energy (Ry/atom) = -0.468

Lattice parameters (Å, degrees): 4.6343 5.6449 9.1839 90.00 90.00 90.00
Element x y z (fractional)
Al: 0.0000 0.0000 0.0000
Al: 0.5735 0.5000 0.7500
Al: 0.5806 0.0000 0.7500
Al: 0.0000 0.0000 0.5000
Al: 0.4194 0.0000 0.2500
Al: 0.4265 0.5000 0.2500
Pt: 0.5000 0.2486 0.0000
Pt: 0.0813 0.2506 0.7500
Pt: 0.5000 0.7514 0.5000
Pt: 0.0813 0.7494 0.7500
Pt: 0.9187 0.7494 0.2500
Pt: 0.5000 0.7514 0.0000
Pt: 0.5000 0.2486 0.5000
Pt: 0.9187 0.2506 0.2500
Ti: 0.0000 0.5000 0.5000
Ti: 0.0000 0.5000 0.0000

---

17.
Entry from Alexandria: a relaxed UICl3 crystal (GGA-PBE).

- E above lowest polymorph (meV/atom) = 0
- Fermi-level density of states (states/eV/cell) = 15.3
- calculated density (Mg/m³) = 4.45
- energy (Ry/atom) = -0.377

Lattice parameters (Å, degrees): 7.1829 10.8937 8.9909 87.28 90.00 90.00
Element x y z (fractional)
Cl: 0.4070 0.3744 0.9482
Cl: 0.1397 0.5422 0.2246
Cl: 0.8603 0.4578 0.7754
Cl: 0.3603 0.0422 0.7246
Cl: 0.7514 0.2985 0.2561
Cl: 0.6397 0.9578 0.2754
Cl: 0.5930 0.6256 0.0518
Cl: 0.9070 0.1256 0.5518
Cl: 0.2486 0.7015 0.7439
Cl: 0.0930 0.8744 0.4482
Cl: 0.7486 0.7985 0.7561
Cl: 0.2514 0.2015 0.2439
U: 0.4465 0.4373 0.2361
U: 0.5535 0.5627 0.7639
U: 0.0535 0.9373 0.7361
U: 0.9465 0.0627 0.2639
I: 0.3482 0.3718 0.5685
I: 0.6518 0.6282 0.4315
I: 0.1518 0.8718 0.0685
I: 0.8482 0.1282 0.9315

---

18.
Entry from Alexandria: a relaxed Pr2ThMnN5 crystal (GGA-PBE).

- Fermi-level density of states (states/eV/cell) = 6.9
- calculated density (Mg/m³) = 8.35
- energy (Ry/atom) = -0.631

Lattice parameters (Å, degrees): 6.7474 6.7474 7.3436 117.35 117.35 90.00
Element x y z (fractional)
Mn: 0.7500 0.2500 0.5000
Mn: 0.2500 0.7500 0.5000
N: 0.0077 0.5077 0.3081
N: 0.6995 0.1995 0.6919
N: 0.3005 0.8005 0.3081
N: 0.9923 0.4923 0.6919
N: 0.4923 0.6995 0.6919
N: 0.0000 0.0000 0.0000
N: 0.8005 0.0077 0.3081
N: 0.5077 0.3005 0.3081
N: 0.5000 0.5000 0.0000
N: 0.1995 0.9923 0.6919
Pr: 0.1700 0.3300 0.0000
Pr: 0.6700 0.1700 0.0000
Pr: 0.8300 0.6700 0.0000
Pr: 0.3300 0.8300 0.0000
Th: 0.2500 0.2500 0.5000
Th: 0.7500 0.7500 0.5000

---

19.
Entry from Alexandria: a relaxed SmSc3S crystal (GGA-PBE).

- Fermi-level density of states (states/eV/cell) = 9.1
- calculated density (Mg/m³) = 4.23
- energy (Ry/atom) = -0.453

Lattice parameters (Å, degrees): 4.9925 4.9925 4.9925 90.00 90.00 90.00
Element x y z (fractional)
Sc: 0.0000 0.0000 0.5000
Sc: 0.0000 0.5000 0.0000
Sc: 0.5000 0.0000 0.0000
S: 0.0000 0.0000 0.0000
Sm: 0.5000 0.5000 0.5000

---

20.
Entry from Alexandria: a relaxed Nd2Bi crystal (GGA-PBE).

- formation enthalpy at 0 K (meV per atom) = -533
- E above lowest polymorph (meV/atom) = 141
- Fermi-level density of states (states/eV/cell) = 3.5
- calculated density (Mg/m³) = 8.76
- energy (Ry/atom) = -0.368

Lattice parameters (Å, degrees): 4.2387 4.2387 6.0440 110.52 110.52 90.03
Element x y z (fractional)
Bi: 0.5000 0.5000 0.0000
Nd: 0.1555 0.1555 0.3111
Nd: 0.8445 0.8445 0.6889

---

21.
Entry from Alexandria: a relaxed Ag2HgAsSe4 crystal (GGA-PBE).

- Fermi-level density of states (states/eV/cell) = 4.0
- calculated density (Mg/m³) = 5.92
- energy (Ry/atom) = -0.231

Lattice parameters (Å, degrees): 6.1451 6.1458 7.4062 114.52 114.51 89.99
Element x y z (fractional)
Se: 0.6108 0.6193 0.7097
Se: 0.3814 0.8609 0.2338
Se: 0.0990 0.0905 0.7098
Se: 0.8526 0.3730 0.2337
Hg: 0.9858 0.4859 0.9716
Ag: 0.2357 0.2357 0.4718
Ag: 0.4860 0.9859 0.9719
As: 0.7359 0.7359 0.4718

---

22.
Entry from Alexandria: a relaxed CrPbCl2 crystal (GGA-PBE).

- E above lowest polymorph (meV/atom) = 82
- Fermi-level density of states (states/eV/cell) = 1.9
- calculated density (Mg/m³) = 5.05
- energy (Ry/atom) = -0.346

Lattice parameters (Å, degrees): 6.0002 6.0002 6.0553 69.84 69.84 32.21
Element x y z (fractional)
Cl: 0.0940 0.0940 0.9382
Cl: 0.4060 0.4060 0.5618
Cr: 0.7500 0.7500 0.7500
Pb: 0.2500 0.2500 0.2500

---

23.
Entry from Alexandria: a relaxed Sc2TaBr crystal (GGA-PBE).

- E above lowest polymorph (meV/atom) = 646
- Fermi-level density of states (states/eV/cell) = 4.8
- calculated density (Mg/m³) = 6.81
- energy (Ry/atom) = -0.456

Lattice parameters (Å, degrees): 3.1759 5.4405 4.9477 90.00 90.00 90.00
Element x y z (fractional)
Sc: 0.0000 0.0000 0.0000
Sc: 0.5000 0.5000 0.0000
Br: 0.0000 0.5000 0.5000
Ta: 0.5000 0.0000 0.5000

---

24.
Entry from Alexandria: a relaxed TbP4Pd12 crystal (GGA-PBE).

- formation enthalpy at 0 K (meV per atom) = -462
- Fermi-level density of states (states/eV/cell) = 3.3
- calculated density (Mg/m³) = 8.93
- energy (Ry/atom) = -0.417

Lattice parameters (Å, degrees): 7.2229 7.2229 7.2229 109.47 109.47 109.47
Element x y z (fractional)
P: 0.5000 0.0000 0.0000
P: 0.0000 0.5000 0.0000
P: 0.5000 0.5000 0.5000
P: 0.0000 0.0000 0.5000
Pd: 0.3341 0.5043 0.1701
Pd: 0.4957 0.8299 0.6659
Pd: 0.6659 0.4957 0.8299
Pd: 0.5043 0.1701 0.3341
Pd: 0.3341 0.1640 0.8299
Pd: 0.8360 0.1701 0.6659
Pd: 0.1701 0.6659 0.8360
Pd: 0.6659 0.8360 0.1701
Pd: 0.1640 0.8299 0.3341
Pd: 0.1701 0.3341 0.5043
Pd: 0.8299 0.3341 0.1640
Pd: 0.8299 0.6659 0.4957
Tb: 0.0000 0.0000 0.0000